Entry 1:
# Li3GeBi

A relaxed Li3GeBi crystal (PBE, the Alexandria database).

Summary:
Space-group type: P-1 (2)
Energy relative to the lowest polymorph listed for this composition in meV per atom: 0

a b c (Å): 3.8310 6.5837 8.6980
angles (deg): 95.38 90.12 106.30
Last column: nearest neighbours and their distance in Å.
Element x y z (fractional)
Li1 0.0492 0.1023 0.1907  1 Ge 2.70, 1 Bi 2.99
Li2 0.2518 0.4990 0.7591  3 Ge 2.76, 1 Bi 2.87, 2 Li 2.90
Li3 0.3945 0.8026 0.3857  3 Ge 2.75, 3 Li 2.90-3.03, 1 Bi 2.92
Li4 0.6055 0.1974 0.6143  3 Ge 2.75, 3 Li 2.90-3.03, 1 Bi 2.92
Li5 0.7482 0.5010 0.2409  3 Ge 2.76, 1 Bi 2.87, 2 Li 2.90
Li6 0.9508 0.8977 0.8093  1 Ge 2.70, 1 Bi 2.99
Ge1 0.1937 0.3839 0.4451  2 Ge 2.54, 7 Li 2.70-2.76
Ge2 0.8063 0.6161 0.5549  2 Ge 2.54, 7 Li 2.70-2.76
Bi1 0.3765 0.7604 0.0480  8 Li 2.87-3.13
Bi2 0.6235 0.2396 0.9520  8 Li 2.87-3.13

=====

Entry 2:
# Li2Ge2Bi

A relaxed Li2Ge2Bi crystal (PBE, the Alexandria database).

Summary:
Space-group type: P4/mbm (127)
Energy relative to the lowest polymorph listed for this composition in meV per atom: 0

a b c (Å): 7.7926 7.7926 3.3378
angles (deg): 90.00 90.00 90.00
Last column: nearest neighbours and their distance in Å.
Element x y z (fractional)
Li1 0.1803 0.3197 0.0000  6 Ge 2.81-2.89
Li2 0.3197 0.8197 0.0000  6 Ge 2.81-2.89
Li3 0.6803 0.1803 0.0000  6 Ge 2.81-2.89
Li4 0.8197 0.6803 0.0000  6 Ge 2.81-2.89
Ge1 0.1150 0.6150 0.5000  1 Ge 2.54, 2 Li 2.81
Ge2 0.3850 0.1150 0.5000  1 Ge 2.54, 2 Li 2.81
Ge3 0.6150 0.8850 0.5000  1 Ge 2.54, 2 Li 2.81
Ge4 0.8850 0.3850 0.5000  1 Ge 2.54, 2 Li 2.81
Bi1 0.0000 0.0000 0.5000  4 Ge 3.13, 8 Li 3.31, 2 Bi 3.34
Bi2 0.5000 0.5000 0.5000  4 Ge 3.13, 8 Li 3.31, 2 Bi 3.34

=====

Entry 3:
# LiGeBi2

A relaxed LiGeBi2 crystal (PBE, the Alexandria database).

Summary:
Space-group type: R3m (160)
Uncorrected energy in eV per atom: -3.547

a b c (Å): 8.4896 8.4896 8.4896
angles (deg): 26.32 26.32 26.32
Last column: nearest neighbours and their distance in Å.
Element x y z (fractional)
Li1 0.0000 0.0000 0.0000  6 Bi 3.08
Ge1 0.8341 0.8341 0.8341  6 Bi 2.96-2.99
Bi1 0.2468 0.2468 0.2468  3 Ge 2.96, 3 Li 3.08
Bi2 0.4198 0.4198 0.4198  3 Ge 2.99, 3 Li 3.08

=====

Entry 4:
# Li2Ge2Bi

A relaxed Li2Ge2Bi crystal (PBE, the Alexandria database).

Summary:
Space-group type: I4/mmm (139)
Energy relative to the lowest polymorph listed for this composition in meV per atom: 41

a b c (Å): 6.5190 6.5190 6.5190
angles (deg): 142.20 142.20 54.53
Last column: nearest neighbours and their distance in Å.
Element x y z (fractional)
Li1 0.2500 0.7500 0.5000  4 Ge 2.70, 4 Li 2.99
Li2 0.7500 0.2500 0.5000  4 Ge 2.70, 4 Li 2.99
Ge1 0.1053 0.1053 0.0000  1 Ge 2.44, 4 Li 2.70
Ge2 0.8947 0.8947 0.0000  1 Ge 2.44, 4 Li 2.70
Bi1 0.5000 0.5000 0.0000  8 Ge 3.23, 8 Li 3.59

=====

Entry 5:
# Li4GeBi

A relaxed Li4GeBi crystal (PBE, the Alexandria database).

Summary:
Space-group type: Cmc2_1 (36)
Uncorrected energy in eV per atom: -2.923

a b c (Å): 9.0401 9.0401 5.1303
angles (deg): 90.00 90.00 144.85
Last column: nearest neighbours and their distance in Å.
Element x y z (fractional)
Li1 0.0432 0.9568 0.5000  2 Ge 2.60-2.66, 1 Li 2.65
Li2 0.1926 0.8074 0.6215  1 Ge 2.55, 2 Li 2.59-2.65
Li3 0.2537 0.7463 0.1597  3 Li 2.59-2.89, 1 Ge 2.61, 1 Bi 2.77
Li4 0.4490 0.5510 0.2881  2 Bi 2.86-3.03, 4 Li 3.11, 2 Ge 3.15
Li5 0.5510 0.4490 0.7881  2 Bi 2.86-3.03, 4 Li 3.11, 2 Ge 3.15
Li6 0.7463 0.2537 0.6597  3 Li 2.59-2.89, 1 Ge 2.61, 1 Bi 2.77
Li7 0.8074 0.1926 0.1215  1 Ge 2.55, 2 Li 2.59-2.65
Li8 0.9568 0.0432 0.0000  2 Ge 2.60-2.66, 1 Li 2.65
Ge1 0.1076 0.8924 0.0289  4 Li 2.55-2.66
Ge2 0.8924 0.1076 0.5289  4 Li 2.55-2.66
Bi1 0.3647 0.6353 0.7688  4 Li 2.77-3.06, 2 Ge 3.03
Bi2 0.6353 0.3647 0.2688  4 Li 2.77-3.06, 2 Ge 3.03

=====

Entry 6:
# LiGeBi2

A relaxed LiGeBi2 crystal (PBE, the Alexandria database).

Summary:
Space-group type: P4/mmm (123)
Uncorrected energy in eV per atom: -3.622

a b c (Å): 4.8885 4.8885 4.2189
angles (deg): 90.00 90.00 90.00
Last column: nearest neighbours and their distance in Å.
Element x y z (fractional)
Li1 0.0000 0.0000 0.0000  8 Bi 3.23, 4 Ge 3.46
Ge1 0.5000 0.5000 0.0000  8 Bi 3.23, 4 Li 3.46
Bi1 0.0000 0.5000 0.5000  4 Ge 3.23, 4 Li 3.23, 4 Bi 3.46
Bi2 0.5000 0.0000 0.5000  4 Ge 3.23, 4 Li 3.23, 4 Bi 3.46

=====

Entry 7:
# LiGeBi2

A relaxed LiGeBi2 crystal (PBE, the Alexandria database).

Summary:
Space-group type: P4/mmm (123)
Uncorrected energy in eV per atom: -3.584

a b c (Å): 3.9150 3.9150 6.6392
angles (deg): 90.00 90.00 90.00
Last column: nearest neighbours and their distance in Å.
Element x y z (fractional)
Li1 0.0000 0.0000 0.0000  8 Bi 3.24, 2 Ge 3.32
Ge1 0.0000 0.0000 0.5000  8 Bi 3.22, 2 Li 3.32
Bi1 0.5000 0.5000 0.2528  4 Ge 3.22, 4 Li 3.24, 2 Bi 3.28-3.36
Bi2 0.5000 0.5000 0.7472  4 Ge 3.22, 4 Li 3.24, 2 Bi 3.28-3.36

=====

Entry 8:
# Li4Ge2Bi

A relaxed Li4Ge2Bi crystal (PBE, the Alexandria database).

Summary:
Space-group type: I4/mmm (139)
Uncorrected energy in eV per atom: -2.949

a b c (Å): 7.4905 7.4905 7.4905
angles (deg): 137.78 137.78 61.24
Last column: nearest neighbours and their distance in Å.
Element x y z (fractional)
Li1 0.0000 0.5000 0.5000  2 Bi 2.70, 4 Ge 2.94
Li2 0.2117 0.2117 0.0000  1 Ge 2.55, 1 Bi 2.73
Li3 0.5000 0.0000 0.5000  2 Bi 2.70, 4 Ge 2.94
Li4 0.7883 0.7883 0.0000  1 Ge 2.55, 1 Bi 2.73
Ge1 0.4092 0.4092 0.0000  1 Ge 2.34, 1 Li 2.55
Ge2 0.5908 0.5908 0.0000  1 Ge 2.34, 1 Li 2.55
Bi1 0.0000 0.0000 0.0000  6 Li 2.70-2.73